one:
VASP calculation (PBE-GGA) on a geometry-optimized Al2In2Sn structure.

It has space group P4/mbm (No. 127), with a = 8.804 Å, b = 8.804 Å, c = 3.050 Å, α = 90.00°, β = 90.00° and γ = 90.00°. Symmetry generates all atoms from Al at (0.140, 0.360, 0.000), In at (0.156, 0.656, 0.500) and Sn at (0.000, 0.000, 0.500).

Its density of states at the Fermi level is 4.2 states/eV per cell.


two:
VASP calculation (PBE-GGA) on a geometry-optimized Al2In2Sn structure.

It has space group P4/mbm (No. 127), with a = 8.257 Å, b = 8.257 Å, c = 3.446 Å, α = 90.00°, β = 90.00° and γ = 90.00°. Symmetry generates all atoms from Al at (0.118, 0.382, 0.000), In at (0.180, 0.680, 0.500) and Sn at (0.000, 0.000, 0.000).

Its density of states at the Fermi level is 4.5 states/eV per cell.


Relative to the most stable structure, the computed energies are one 3.0; two 0.0, all in kJ/mol of atoms.